[1]
Density functional theory data (PBE) for crystalline LuHfAgRu at its relaxed geometry.

Cell and atoms, written as CIF:
```
data_LuHfAgRu
_symmetry_space_group_name_H-M 'F -4 3 m'
_symmetry_Int_Tables_number 216
_symmetry_space_group_name_Hall 'F -4 2 3'
_cell_length_a 6.7559
_cell_length_b 6.7559
_cell_length_c 6.7559
_cell_angle_alpha 90.00
_cell_angle_beta 90.00
_cell_angle_gamma 90.00
loop_
_atom_site_label
_atom_site_type_symbol
_atom_site_fract_x
_atom_site_fract_y
_atom_site_fract_z
Lu1 Lu 0.0000 0.0000 0.0000
Hf1 Hf 0.0000 0.0000 0.5000
Ag1 Ag 0.2500 0.2500 0.7500
Ru1 Ru 0.2500 0.2500 0.2500
```

## Properties
The calculated volume is 19.27 Å³ per atom. Its theoretical density is 12.11 g cm⁻³. Its density of states at the Fermi level is 13.678 states/eV per cell. For the formation energy, the calculation gives -0.339 eV/atom.


[2]
Density functional theory data (PBE) for crystalline LuHfTcAg at its relaxed geometry.

Cell and atoms, written as CIF:
```
data_LuHfTcAg
_symmetry_space_group_name_H-M 'F -4 3 m'
_symmetry_Int_Tables_number 216
_symmetry_space_group_name_Hall 'F -4 2 3'
_cell_length_a 6.7645
_cell_length_b 6.7645
_cell_length_c 6.7645
_cell_angle_alpha 90.00
_cell_angle_beta 90.00
_cell_angle_gamma 90.00
loop_
_atom_site_label
_atom_site_type_symbol
_atom_site_fract_x
_atom_site_fract_y
_atom_site_fract_z
Lu1 Lu 0.0000 0.0000 0.0000
Hf1 Hf 0.0000 0.0000 0.5000
Tc1 Tc 0.2500 0.2500 0.7500
Ag1 Ag 0.2500 0.2500 0.2500
```

## Properties
The calculated volume is 19.35 Å³ per atom. Its theoretical density is 12.00 g cm⁻³. Its density of states at the Fermi level is 11.637 states/eV per cell. For the formation energy, the calculation gives -0.204 eV/atom.


[3]
Density functional theory data (PBE) for crystalline HfMg2Ag2 at its relaxed geometry.

Cell and atoms, written as CIF:
```
data_HfMg2Ag2
_symmetry_space_group_name_H-M 'P 4/m b m'
_symmetry_Int_Tables_number 127
_symmetry_space_group_name_Hall '-P 4 2ab'
_cell_length_a 8.1090
_cell_length_b 8.1090
_cell_length_c 2.9224
_cell_angle_alpha 90.00
_cell_angle_beta 90.00
_cell_angle_gamma 90.00
loop_
_atom_site_label
_atom_site_type_symbol
_atom_site_fract_x
_atom_site_fract_y
_atom_site_fract_z
Hf1 Hf 0.0000 0.0000 0.0000
Mg1 Mg 0.1278 0.3722 0.0000
Ag1 Ag 0.1711 0.6711 0.5000
```

## Properties
As for the energy above the most stable polymorph in this dataset: 0.025 eV per atom. The calculated volume is 19.22 Å³ per atom. Its theoretical density is 7.65 g cm⁻³. Its density of states at the Fermi level is 6.825 states/eV per cell. For the formation energy, the calculation gives 0.029 eV/atom.